Pm2SmCd2Hg2: optimized geometry, PBE-GGA.

a = 4.9819 Å, b = 4.9819 Å, c = 9.4401 Å
α = 74.70°, β = 74.70°, γ = 60.00°
With the nearest neighbours (Å) after each atom.
Fractional positions:
Pm 0.1252 0.1252 0.6243  3 Cd 3.21, 3 Hg 3.33, 1 Sm 3.38
Pm 0.8748 0.8748 0.3757  3 Cd 3.21, 3 Hg 3.33, 1 Sm 3.38
Sm 0.0000 0.0000 0.0000  6 Hg 3.34, 2 Pm 3.38, 6 Cd 3.48
Cd 0.7395 0.7395 0.7816  3 Hg 2.89, 3 Pm 3.21
Cd 0.2605 0.2605 0.2184  3 Hg 2.89, 3 Pm 3.21
Hg 0.6034 0.6034 0.1898  3 Cd 2.89
Hg 0.3966 0.3966 0.8102  3 Cd 2.89

Computed properties:
Its crystal system is trigonal. The value obtained for the energy relative to the elements is -272 meV/atom. As for the density: 9.16 g/cm³. The value obtained for the density of states at the Fermi level is 0.739 states/eV per atom. The space-group type is R-3m (166).